Density functional theory data (GGA+U) for crystalline Cs2KV3F12 at its relaxed geometry.

abc: 7.7308 7.7308 7.7308
angles: 59.54 59.54 59.54
Atoms (fractional coordinates):
Cs: 0.1186 0.1186 0.1186
Cs: 0.8814 0.8814 0.8814
K: 0.5000 0.5000 0.5000
V: 0.0000 0.5000 0.5000
V: 0.5000 0.0000 0.5000
V: 0.5000 0.5000 0.0000
F: 0.0770 0.6125 0.6125
F: 0.2138 0.2138 0.5963
F: 0.2138 0.5963 0.2138
F: 0.3875 0.3875 0.9230
F: 0.3875 0.9230 0.3875
F: 0.4037 0.7862 0.7862
F: 0.5963 0.2138 0.2138
F: 0.6125 0.0770 0.6125
F: 0.6125 0.6125 0.0770
F: 0.7862 0.4037 0.7862
F: 0.7862 0.7862 0.4037
F: 0.9230 0.3875 0.3875

Output
Density ... 3.52 Mg/m³
Magnetization ... 6.0 μB/cell
Raw total energy ... -5.58 eV per atom